(1)
The following is a GGA-PBE calculation of a relaxed structure of ZrTi2Pd, from Alexandria via LeMat-Bulk.

Lattice parameters (Å, degrees): 3.041 7.128 7.058 74.19 90.00 90.00
Fractional coordinates of all 8 atoms:
Zr (0.250, 0.212, 0.372)
Pd (0.750, 0.566, 0.328)
Ti (0.750, 0.340, 0.991)
Ti (0.250, 0.052, 0.826)
Ti (0.250, 0.660, 0.009)
Ti (0.750, 0.948, 0.174)
Zr (0.750, 0.788, 0.628)
Pd (0.250, 0.434, 0.672)

Values from the calculation:
Crystal system: monoclinic
N(E_F), states/eV/f.u.: 3.9
Space group: No. 11
Electronic total energy, eV/cell: -60.886

=====

(2)
The following is a GGA-PBE calculation of a relaxed structure of RbHf2CN, from Alexandria via LeMat-Bulk.

Lattice parameters (Å, degrees): 4.316 5.568 4.316 90.00 90.00 90.00
Fractional coordinates of all 5 atoms:
Hf (0.000, 0.000, 0.500)
C (0.000, 0.500, 0.000)
N (0.000, 0.000, 0.000)
Hf (0.500, 0.000, 0.000)
Rb (0.500, 0.500, 0.500)

Values from the calculation:
Crystal system: tetragonal
N(E_F), states/eV/f.u.: 5.2
Space group: No. 123
Formation energy from raw total energies, kJ per mole of atoms: 118.3

=====

(3)
The following is a GGA-PBE calculation of a relaxed structure of Ac3Ge4Rh2, from Alexandria via LeMat-Bulk.

Lattice parameters (Å, degrees): 4.428 6.367 8.730 107.44 90.00 110.35
Fractional coordinates of all 9 atoms:
Ge (0.887, 0.775, 0.605)
Ge (0.113, 0.225, 0.395)
Ac (0.000, 0.000, 0.000)
Ge (0.714, 0.428, 0.077)
Ac (0.388, 0.775, 0.310)
Rh (0.300, 0.600, 0.633)
Ge (0.286, 0.572, 0.923)
Ac (0.612, 0.225, 0.690)
Rh (0.700, 0.400, 0.367)

Values from the calculation:
Crystal system: monoclinic
Relative energy among the computed polymorphs, meV per atom: 32
N(E_F), states/eV/f.u.: 4.3
Space group: No. 12

=====

(4)
The following is a GGA-PBE calculation of a relaxed structure of Nd3Ga2Ir7, from Alexandria via LeMat-Bulk.

Lattice parameters (Å, degrees): 5.540 5.540 8.887 71.84 71.84 60.00
Fractional coordinates of all 12 atoms:
Nd (0.000, 0.000, 0.000)
Ir (0.416, 0.416, 0.245)
Ga (0.335, 0.335, 0.994)
Ir (0.416, 0.924, 0.245)
Ga (0.665, 0.665, 0.006)
Ir (0.500, 0.500, 0.500)
Nd (0.859, 0.859, 0.423)
Ir (0.924, 0.416, 0.245)
Ir (0.076, 0.584, 0.755)
Ir (0.584, 0.584, 0.755)
Ir (0.584, 0.076, 0.755)
Nd (0.141, 0.141, 0.577)

Values from the calculation:
Crystal system: trigonal
N(E_F), states/eV/f.u.: 8.3
Space group: No. 166
Electronic total energy, eV/cell: -90.614

=====

(5)
The following is a GGA-PBE calculation of a relaxed structure of CrHgSe2, from Alexandria via LeMat-Bulk.

Lattice parameters (Å, degrees): 3.512 4.831 4.831 90.00 90.00 90.00
Last column: magnetic moment on the atom in μB.
Fractional coordinates of all 4 atoms:
Se (0.000, 0.000, 0.000)  -0.22
Hg (0.500, 0.000, 0.500)  -0.02
Se (0.000, 0.500, 0.500)  -0.22
Cr (0.500, 0.500, 0.000)  3.74

Values from the calculation:
Crystal system: tetragonal
N(E_F), states/eV/f.u.: 2.5
Space group: No. 123
Formation energy from raw total energies, kJ per mole of atoms: 23.8

=====

(6)
The following is a GGA-PBE calculation of a relaxed structure of Tl2Ni2Bi, from Alexandria via LeMat-Bulk.

Lattice parameters (Å, degrees): 3.436 3.436 9.843 79.95 79.95 90.00
Fractional coordinates of all 5 atoms:
Ni (0.250, 0.750, 0.500)
Tl (0.364, 0.364, 0.272)
Bi (0.000, 0.000, 0.000)
Tl (0.636, 0.636, 0.728)
Ni (0.750, 0.250, 0.500)

Values from the calculation:
Crystal system: tetragonal
Relative energy among the computed polymorphs, meV per atom: 12
N(E_F), states/eV/f.u.: 5.3
Space group: No. 139

=====

(7)
The following is a GGA-PBE calculation of a relaxed structure of Cr3ReAu, from Alexandria via LeMat-Bulk.

Lattice parameters (Å, degrees): 4.478 4.478 4.478 90.00 90.00 90.00
Fractional coordinates of all 5 atoms:
Cr (0.500, 0.000, 0.000)
Re (0.000, 0.000, 0.000)
Au (0.500, 0.500, 0.500)
Cr (0.000, 0.000, 0.500)
Cr (0.000, 0.500, 0.000)

Values from the calculation:
Crystal system: cubic
N(E_F), states/eV/f.u.: 6.7
Space group: No. 221
Electronic total energy, eV/cell: -36.804

=====

(8)
The following is a GGA-PBE calculation of a relaxed structure of InTeAu, from Alexandria via LeMat-Bulk.

Lattice parameters (Å, degrees): 3.951 6.277 6.626 104.06 73.33 89.57
Fractional coordinates of all 6 atoms:
Te (0.386, 0.366, 0.115)
In (0.680, 0.967, 0.522)
Te (0.386, 0.866, 0.115)
Au (0.055, 0.280, 0.772)
Au (0.055, 0.780, 0.772)
In (0.680, 0.467, 0.522)

Values from the calculation:
Crystal system: triclinic
N(E_F), states/eV/f.u.: 1.9
Space group: No. 1
Formation energy from raw total energies, kJ per mole of atoms: -8.2

=====

(9)
The following is a GGA-PBE calculation of a relaxed structure of CdFe2NiN, from Alexandria via LeMat-Bulk.

Lattice parameters (Å, degrees): 3.862 3.862 3.961 90.00 90.00 90.00
Last column: magnetic moment on the atom in μB.
Fractional coordinates of all 5 atoms:
Cd (0.500, 0.500, 0.500)  -0.07
Ni (0.000, 0.000, 0.500)  0.18
Fe (0.000, 0.500, 0.000)  2.27
N (0.000, 0.000, 0.000)  0.01
Fe (0.500, 0.000, 0.000)  2.27

Values from the calculation:
Crystal system: tetragonal
N(E_F), states/eV/f.u.: 3.3
Space group: No. 123
Formation energy from raw total energies, kJ per mole of atoms: -1.9

=====

(10)
The following is a GGA-PBE calculation of a relaxed structure of NbCo10B3, from Alexandria via LeMat-Bulk.

Lattice parameters (Å, degrees): 7.401 7.401 7.401 60.00 60.00 60.00
Last column: magnetic moment on the atom in μB.
Fractional coordinates of all 28 atoms:
B (0.273, 0.727, 0.273)  -0.06
Co (0.663, 0.000, 0.337)  1.25
Co (0.663, 0.000, 0.000)  1.25
Co (0.384, 0.384, 0.849)  0.47
Co (0.616, 0.616, 0.616)  0.47
Co (0.000, 0.000, 0.663)  1.25
B (0.273, 0.727, 0.727)  -0.06
Co (0.000, 0.663, 0.337)  1.25
B (0.273, 0.273, 0.727)  -0.06
Co (0.151, 0.616, 0.616)  0.47
Co (0.849, 0.384, 0.384)  0.47
Co (0.000, 0.000, 0.337)  1.25
Co (0.000, 0.663, 0.000)  1.25
Co (0.337, 0.000, 0.000)  1.25
Nb (0.750, 0.750, 0.750)  -0.32
Co (0.000, 0.337, 0.000)  1.25
Co (0.000, 0.337, 0.663)  1.25
Nb (0.250, 0.250, 0.250)  -0.32
Co (0.616, 0.616, 0.151)  0.47
Co (0.663, 0.337, 0.000)  1.25
Co (0.384, 0.849, 0.384)  0.47
B (0.727, 0.727, 0.273)  -0.06
B (0.727, 0.273, 0.727)  -0.06
B (0.727, 0.273, 0.273)  -0.06
Co (0.384, 0.384, 0.384)  0.47
Co (0.616, 0.151, 0.616)  0.47
Co (0.337, 0.663, 0.000)  1.25
Co (0.337, 0.000, 0.663)  1.25

Values from the calculation:
Crystal system: cubic
N(E_F), states/eV/f.u.: 11.8
Space group: No. 225
Electronic total energy, eV/cell: -208.888

=====

(11)
The following is a GGA-PBE calculation of a relaxed structure of LiTb2Te6Pb3, from Alexandria via LeMat-Bulk.

Lattice parameters (Å, degrees): 4.450 9.173 10.176 104.54 102.63 90.00
Fractional coordinates of all 12 atoms:
Te (0.668, 0.105, 0.337)
Te (0.329, 0.416, 0.658)
Te (0.332, 0.895, 0.663)
Pb (0.159, 0.848, 0.319)
Li (0.500, 0.000, 0.000)
Tb (0.166, 0.343, 0.332)
Te (0.006, 0.239, 0.013)
Pb (0.841, 0.152, 0.681)
Te (0.994, 0.761, 0.987)
Te (0.671, 0.584, 0.342)
Pb (0.500, 0.500, 0.000)
Tb (0.834, 0.657, 0.668)

Values from the calculation:
Crystal system: monoclinic
N(E_F), states/eV/f.u.: 4.3
Space group: No. 12
Formation energy from raw total energies, kJ per mole of atoms: -76.4

=====

(12)
The following is a GGA-PBE calculation of a relaxed structure of La12NdHg6, from Alexandria via LeMat-Bulk.

Lattice parameters (Å, degrees): 8.421 8.421 8.421 88.69 88.69 88.69
Fractional coordinates of all 19 atoms:
Hg (0.755, 0.272, 0.123)
Hg (0.877, 0.245, 0.728)
Hg (0.245, 0.728, 0.877)
La (0.466, 0.578, 0.183)
Hg (0.123, 0.755, 0.272)
La (0.578, 0.183, 0.466)
La (0.400, 0.076, 0.144)
La (0.924, 0.856, 0.600)
La (0.817, 0.534, 0.422)
La (0.534, 0.422, 0.817)
La (0.183, 0.466, 0.578)
Hg (0.272, 0.123, 0.755)
La (0.144, 0.400, 0.076)
La (0.856, 0.600, 0.924)
La (0.076, 0.144, 0.400)
La (0.600, 0.924, 0.856)
Hg (0.728, 0.877, 0.245)
La (0.422, 0.817, 0.534)
Nd (0.000, 0.000, 0.000)

Values from the calculation:
Crystal system: trigonal
N(E_F), states/eV/f.u.: 25.2
Space group: No. 148
Electronic total energy, eV/cell: -70.159